DFT (GGA-PBE) results for crystalline RbAg2IBr2 at its relaxed geometry.

Results
E: -16.228 eV/f.u.
ΔE_f (raw): -4.663 eV/f.u.
M_tot: 0.00 μB per cell

Unit cell a=7.880 b=5.997 c=10.099 alpha=90.00 beta=110.57 gamma=90.00
Space group P2_1/m (No. 11)
Unique sites:
Rb 0.177 0.250 0.405 [2 per cell]
Ag 0.385 0.000 0.846 [4 per cell]
I 0.278 0.750 0.053 [2 per cell]
Br 0.075 0.250 0.713 [2 per cell]
Br 0.396 0.750 0.619 [2 per cell]